VASP calculation (PBE) on crystalline Ca2DyGa4 at its relaxed geometry.

Calculated values
For the mass density, the calculation gives 5241 kg/m³. The symmetry is Immm (71). The spin magnetization is 0.000 μB/cell. The total energy is -3.496 eV per atom.

Geometry as extended XYZ:
```
14
Lattice="4.008 0.000 0.000 0.000 4.316 0.000 0.000 0.000 19.110" Properties=species:S:1:pos:R:3 pbc="T T T"
Ca 0.000 0.000 3.588
Ca 0.000 0.000 15.521
Ca 2.004 2.158 5.967
Ca 2.004 2.158 13.143
Dy 0.000 2.158 0.000
Dy 2.004 0.000 9.555
Ga 0.000 0.000 6.919
Ga 0.000 0.000 12.191
Ga 0.000 2.158 8.318
Ga 0.000 2.158 10.791
Ga 2.004 0.000 1.236
Ga 2.004 0.000 17.873
Ga 2.004 2.158 2.636
Ga 2.004 2.158 16.474
```

VASP calculation (PBE) on crystalline CaDyGa4 at its relaxed geometry.

Calculated values
For the mass density, the calculation gives 6600 kg/m³. The symmetry is F-43m (216). The spin magnetization is 0.000 μB/cell. The total energy is -3.592 eV per atom.

Geometry as extended XYZ:
```
6
Lattice="0.000 3.927 3.927 3.927 0.000 3.927 3.927 3.927 0.000" Properties=species:S:1:pos:R:3 pbc="T T T"
Ca 0.000 0.000 0.000
Dy 5.891 5.891 5.891
Ga 2.948 2.948 2.948
Ga 4.906 4.906 2.948
Ga 4.906 2.948 4.906
Ga 2.948 4.906 4.906
```

VASP calculation (PBE) on crystalline CaDyGa4 at its relaxed geometry.

Calculated values
For the mass density, the calculation gives 6211 kg/m³. The symmetry is Immm (71). The spin magnetization is 0.000 μB/cell. The total energy is -3.670 eV per atom.

Geometry as extended XYZ:
```
12
Lattice="4.319 0.000 0.000 0.000 7.572 0.000 0.000 0.000 7.873" Properties=species:S:1:pos:R:3 pbc="T T T"
Ca 0.000 0.000 0.000
Ca 2.159 3.786 3.936
Dy 0.000 0.000 3.936
Dy 2.159 3.786 0.000
Ga 0.000 2.513 1.799
Ga 0.000 2.513 6.074
Ga 0.000 5.059 1.799
Ga 0.000 5.059 6.074
Ga 2.159 1.273 2.138
Ga 2.159 1.273 5.735
Ga 2.159 6.298 2.138
Ga 2.159 6.298 5.735
```

VASP calculation (PBE) on crystalline CaDyGa2 at its relaxed geometry.

Calculated values
For the mass density, the calculation gives 5976 kg/m³. The symmetry is P4/mmm (123). The spin magnetization is 0.000 μB/cell. The total energy is -3.680 eV per atom.

Geometry as extended XYZ:
```
4
Lattice="3.610 0.000 0.000 0.000 3.610 0.000 0.000 0.000 7.291" Properties=species:S:1:pos:R:3 pbc="T T T"
Ca 0.000 0.000 0.000
Dy 0.000 0.000 3.646
Ga 1.805 1.805 1.887
Ga 1.805 1.805 5.404
```

VASP calculation (PBE) on crystalline Ca2DyGa at its relaxed geometry.

Calculated values
For the mass density, the calculation gives 3769 kg/m³. The symmetry is R-3m (166). The spin magnetization is 0.000 μB/cell. The total energy is -2.700 eV per atom.

Geometry as extended XYZ:
```
12
Lattice="3.602 0.000 0.000 -1.801 3.119 0.000 0.000 0.000 36.751" Properties=species:S:1:pos:R:3 pbc="T T T"
Ca 0.000 0.000 3.077
Ca 0.000 0.000 33.674
Ca 0.000 2.079 21.424
Ca 0.000 2.079 27.577
Ca 1.801 1.040 9.174
Ca 1.801 1.040 15.327
Dy 0.000 0.000 18.376
Dy 0.000 2.079 6.125
Dy 1.801 1.040 30.626
Ga 0.000 0.000 0.000
Ga 0.000 2.079 24.501
Ga 1.801 1.040 12.250
```

VASP calculation (PBE) on crystalline Ca2DyGa3 at its relaxed geometry.

Calculated values
For the mass density, the calculation gives 5207 kg/m³. The symmetry is Cmmm (65). The spin magnetization is 0.000 μB/cell. The total energy is -3.436 eV per atom.

Geometry as extended XYZ:
```
12
Lattice="2.560 -7.687 0.000 2.560 7.687 0.000 0.000 0.000 7.322" Properties=species:S:1:pos:R:3 pbc="T T T"
Ca 0.000 0.000 0.000
Ca 0.000 0.000 3.661
Ca 2.560 2.544 0.000
Ca 2.560 -2.544 0.000
Dy 2.560 2.496 3.661
Dy 2.560 -2.496 3.661
Ga 2.560 5.062 1.894
Ga 2.560 5.062 5.428
Ga 2.560 0.000 1.856
Ga 2.560 0.000 5.466
Ga 2.560 -5.062 1.894
Ga 2.560 -5.062 5.428
```

VASP calculation (PBE) on crystalline CaDyGa2 at its relaxed geometry.

Calculated values
For the mass density, the calculation gives 5429 kg/m³. The symmetry is R-3m (166). The spin magnetization is 0.000 μB/cell. The total energy is -3.468 eV per atom.

Geometry as extended XYZ:
```
12
Lattice="3.660 0.000 0.000 -1.830 3.169 0.000 0.000 0.000 27.054" Properties=species:S:1:pos:R:3 pbc="T T T"
Ca 0.000 0.000 0.000
Ca 0.000 2.113 18.036
Ca 1.830 1.056 9.018
Dy 0.000 0.000 13.527
Dy 0.000 2.113 4.509
Dy 1.830 1.056 22.545
Ga 0.000 0.000 6.708
Ga 0.000 0.000 20.347
Ga 0.000 2.113 11.328
Ga 0.000 2.113 24.744
Ga 1.830 1.056 2.310
Ga 1.830 1.056 15.726
```

VASP calculation (PBE) on crystalline CaDy2Ga6 at its relaxed geometry.

Calculated values
For the mass density, the calculation gives 6344 kg/m³. The symmetry is Immm (71). The spin magnetization is 0.000 μB/cell. The total energy is -3.740 eV per atom.

Geometry as extended XYZ:
```
9
Lattice="-2.195 3.557 6.566 2.195 -3.557 6.566 2.195 3.557 -6.566" Properties=species:S:1:pos:R:3 pbc="T T T"
Ca 0.000 0.000 0.000
Dy 2.195 0.000 4.922
Dy 0.000 3.557 1.643
Ga 2.195 1.380 -2.440
Ga 2.195 2.249 0.000
Ga 2.195 1.380 2.440
Ga 0.000 2.177 4.126
Ga 0.000 1.308 6.566
Ga 0.000 2.177 9.005
```